Compound: YWIN2
Source: the Alexandria database
Functional: GGA-PBE
Structure: optimized geometry

Summary:
- E_form (uncorrected): 0.26 eV per atom

a = 4.0896 Å, b = 4.0896 Å, c = 5.4658 Å
α = 90.00°, β = 90.00°, γ = 90.00°
Last column: nearest neighbours and their distance in Å.
Space group P4/mmm (No. 123)
One atom of each set of equivalent atoms:
Y (0.0000, 0.0000, 0.0000)  4 I 2.89
W (0.5000, 0.5000, 0.5000)  4 N 2.04
I (0.5000, 0.5000, 0.0000)  2 W 2.73, 4 Y 2.89
N (0.0000, 0.5000, 0.5000)  2 W 2.04

=====

Compound: FeAs2Ir
Source: the Alexandria database
Functional: GGA-PBE
Structure: optimized geometry

Summary:
- Energy of formation from the pure elements: 0.380 eV per atom

a = 2.9652 Å, b = 5.1200 Å, c = 8.1812 Å
α = 90.00°, β = 90.00°, γ = 90.00°
Last column: nearest neighbours and their distance in Å.
Space group Cmmm (No. 65)
One atom of each set of equivalent atoms:
Fe (0.0000, 0.0000, 0.0000)  4 As 2.47
As (0.0000, 0.5000, 0.2409)  2 Fe 2.47, 2 Ir 2.59
Ir (0.0000, 0.0000, 0.5000)  4 As 2.59

=====

Compound: MgZrSiCl2
Source: the Alexandria database
Functional: GGA-PBE
Structure: optimized geometry

Summary:
- E_form (uncorrected): -0.18 eV per atom

a = 4.4018 Å, b = 4.4018 Å, c = 6.4781 Å
α = 90.00°, β = 90.00°, γ = 90.00°
Last column: nearest neighbours and their distance in Å.
Space group P4/mmm (No. 123)
One atom of each set of equivalent atoms:
Mg (0.0000, 0.0000, 0.0000)  4 Cl 2.20
Zr (0.5000, 0.5000, 0.5000)  4 Si 3.11
Si (0.0000, 0.0000, 0.5000)  4 Zr 3.11, 2 Mg 3.24
Cl (0.0000, 0.5000, 0.0000)  2 Mg 2.20

=====

Compound: Y2HgBr
Source: the Alexandria database
Functional: GGA-PBE
Structure: optimized geometry

Summary:
- E_form (uncorrected): -0.69 eV per atom

a = 3.7099 Å, b = 3.7099 Å, c = 27.5241 Å
α = 90.00°, β = 90.00°, γ = 120.00°
Last column: nearest neighbours and their distance in Å.
Space group R-3m (No. 166, hexagonal axes)
One atom of each set of equivalent atoms:
Y (0.0000, 0.0000, 0.2505)  3 Hg 3.13, 3 Br 3.15
Hg (0.0000, 0.0000, 0.0000)  6 Y 3.13
Br (0.0000, 0.0000, 0.5000)  6 Y 3.15

=====

Compound: Cd2ReW
Source: the Alexandria database
Functional: GGA-PBE
Structure: optimized geometry

Summary:
- Energy of formation from the pure elements: 1.149 eV per atom

a = 6.5201 Å, b = 6.5201 Å, c = 6.5201 Å
α = 90.00°, β = 90.00°, γ = 90.00°
Last column: nearest neighbours and their distance in Å.
Space group Fm-3m (No. 225)
One atom of each set of equivalent atoms:
Cd (0.2500, 0.2500, 0.2500)  4 Re 2.82, 4 W 2.82
Re (0.0000, 0.0000, 0.0000)  8 Cd 2.82
W (0.0000, 0.0000, 0.5000)  8 Cd 2.82

=====

Compound: MgTa2Co
Source: the Alexandria database
Functional: GGA-PBE
Structure: optimized geometry

Summary:
- Energy of formation from the pure elements: 0.335 eV per atom

a = 3.8938 Å, b = 3.8938 Å, c = 8.5823 Å
α = 90.00°, β = 90.00°, γ = 90.00°
Last column: nearest neighbours and their distance in Å.
Space group I-4m2 (No. 119)
One atom of each set of equivalent atoms:
Mg (0.0000, 0.0000, 0.0000)  8 Ta 2.75-2.90, 4 Co 2.90
Ta (0.0000, 0.0000, 0.5000)  4 Mg 2.75, 4 Ta 2.90, 4 Co 2.90
Ta (0.0000, 0.5000, 0.7500)  4 Co 2.75, 4 Ta 2.90, 4 Mg 2.90
Co (0.0000, 0.5000, 0.2500)  8 Ta 2.75-2.90, 4 Mg 2.90

=====

Compound: NdSm2TmSe5
Source: the Alexandria database
Functional: GGA-PBE
Structure: optimized geometry

Summary:
- E_form (uncorrected): -1.27 eV per atom

a = 5.0844 Å, b = 5.0844 Å, c = 10.9538 Å
α = 90.00°, β = 90.00°, γ = 90.00°
Last column: nearest neighbours and their distance in Å.
Space group P4/mmm (No. 123)
One atom of each set of equivalent atoms:
Nd (0.0000, 0.0000, 0.0000)  2 Se 2.76
Sm (0.5000, 0.5000, 0.3344)  4 Se 3.12
Tm (0.0000, 0.0000, 0.5000)  6 Se 2.54-2.71
Se (0.0000, 0.0000, 0.2522)  1 Tm 2.71, 1 Nd 2.76
Se (0.0000, 0.5000, 0.5000)  2 Tm 2.54
Se (0.5000, 0.5000, 0.0000)  4 Nd 3.60, 2 Sm 3.66

=====

Compound: La2CuBi4
Source: the Alexandria database
Functional: GGA-PBE
Structure: optimized geometry

Summary:
- Energy of formation from the pure elements: -0.317 eV per atom

a = 5.3217 Å, b = 5.3217 Å, c = 16.1978 Å
α = 90.00°, β = 90.00°, γ = 90.00°
Last column: nearest neighbours and their distance in Å.
Space group I4/mmm (No. 139)
One atom of each set of equivalent atoms:
La (0.0000, 0.0000, 0.1329)  5 Bi 3.27-3.42
Cu (0.0000, 0.0000, 0.5000)  6 Bi 2.66-2.68
Bi (0.0000, 0.0000, 0.3348)  1 Cu 2.68
Bi (0.0000, 0.5000, 0.0000)  2 Cu 2.66

=====

Compound: MgSiAg2Pd
Source: the Alexandria database
Functional: GGA-PBE
Structure: optimized geometry

Summary:
- E_form (uncorrected): 0.69 eV per atom

a = 5.0602 Å, b = 5.0602 Å, c = 4.7098 Å
α = 90.00°, β = 90.00°, γ = 90.00°
Last column: nearest neighbours and their distance in Å.
Space group P4/mmm (No. 123)
One atom of each set of equivalent atoms:
Mg (0.0000, 0.0000, 0.0000)  2 Pd 2.35
Si (0.5000, 0.5000, 0.0000)  8 Ag 3.46, 4 Mg 3.58
Ag (0.0000, 0.5000, 0.5000)  2 Pd 2.53
Pd (0.0000, 0.0000, 0.5000)  2 Mg 2.35, 4 Ag 2.53

=====

Compound: Ca2SmMgS4
Source: the Alexandria database
Functional: GGA-PBE
Structure: optimized geometry

Summary:
- E_form (uncorrected): -1.87 eV per atom

a = 6.8669 Å, b = 3.9369 Å, c = 6.8749 Å
α = 90.00°, β = 109.58°, γ = 90.00°
Last column: nearest neighbours and their distance in Å.
Space group P2/m (No. 10)
One atom of each set of equivalent atoms:
Ca (0.0000, 0.0000, 0.0000)  6 S 2.78-2.81
Ca (0.0000, 0.5000, 0.5000)  6 S 2.88
Sm (0.5000, 0.0000, 0.5000)  6 S 2.80-2.81
Mg (0.5000, 0.5000, 0.0000)  6 S 2.70-2.73
S (0.2548, 0.5000, 0.2418)  1 Mg 2.73, 3 Ca 2.78-2.88, 2 Sm 2.80
S (0.2661, 0.0000, 0.7663)  2 Mg 2.70, 3 Ca 2.81-2.88, 1 Sm 2.81

=====

Compound: SbSCl
Source: the Alexandria database
Functional: GGA-PBE
Structure: optimized geometry

Summary:
- E_form (uncorrected): -0.47 eV per atom

a = 3.7553 Å, b = 4.4541 Å, c = 5.8112 Å
α = 97.20°, β = 90.40°, γ = 90.01°
Last column: nearest neighbours and their distance in Å.
Space group P1 (No. 1)
One atom of each set of equivalent atoms:
Sb (0.0000, 0.0000, 0.0000)  1 Cl 2.41, 2 S 2.51
S (0.5007, 0.3757, 0.0529)  2 Sb 2.51
Cl (0.9944, 0.9108, 0.5825)  1 Sb 2.41

=====

Compound: La3GaBr3
Source: the Alexandria database
Functional: GGA-PBE
Structure: optimized geometry

Summary:
- E_form (uncorrected): -1.40 eV per atom

a = 6.1449 Å, b = 6.1449 Å, c = 6.1449 Å
α = 90.00°, β = 90.00°, γ = 90.00°
Last column: nearest neighbours and their distance in Å.
Space group Pm-3m (No. 221)
One atom of each set of equivalent atoms:
La (0.0000, 0.0000, 0.5000)  4 Br 3.07, 2 Ga 3.07
Ga (0.0000, 0.0000, 0.0000)  6 La 3.07
Br (0.0000, 0.5000, 0.5000)  4 La 3.07

=====

Compound: Tb3Dy3Ho5
Source: the Alexandria database
Functional: GGA-PBE
Structure: optimized geometry

Summary:
- Energy of formation from the pure elements: 0.357 eV per atom

a = 11.0526 Å, b = 11.0526 Å, c = 3.4120 Å
α = 90.00°, β = 90.00°, γ = 120.00°
Last column: nearest neighbours and their distance in Å.
Space group P-62m (No. 189)
One atom of each set of equivalent atoms:
Tb (0.0000, 0.6594, 0.0000)  4 Ho 3.26-3.64, 2 Dy 3.28, 2 Tb 3.41
Dy (0.0000, 0.4055, 0.5000)  2 Ho 3.21, 2 Tb 3.28, 2 Dy 3.41
Ho (0.0000, 0.1599, 0.0000)  4 Ho 3.06-3.41, 2 Dy 3.21, 2 Tb 3.26
Ho (0.3333, 0.6667, 0.0000)  2 Ho 3.41, 3 Tb 3.64, 6 Dy 3.77

=====

Compound: Pu2Ga9Ni3
Source: the Alexandria database
Functional: GGA-PBE
Structure: optimized geometry

Summary:
- Energy of formation from the pure elements: -0.405 eV per atom

a = 12.9608 Å, b = 7.4684 Å, c = 10.4044 Å
α = 90.00°, β = 114.64°, γ = 90.00°
Last column: nearest neighbours and their distance in Å.
Space group C2/c (No. 15)
One atom of each set of equivalent atoms:
Pu (0.1679, 0.0838, 0.2508)  11 Ga 2.98-3.06
Ga (0.0000, 0.3692, 0.2500)  2 Ni 2.53, 6 Ga 2.76-2.83
Ga (0.0593, 0.0805, 0.9277)  3 Ni 2.56-2.59, 5 Ga 2.77-2.83
Ga (0.1065, 0.3107, 0.7488)  2 Ni 2.52-2.54, 6 Ga 2.76-2.82
Ga (0.1056, 0.4148, 0.0628)  3 Ni 2.54-2.58, 5 Ga 2.80-2.83
Ga (0.2262, 0.4158, 0.4263)  3 Ni 2.57-2.60, 5 Ga 2.76-2.84
Ni (0.0832, 0.2492, 0.5003)  8 Ga 2.52-2.60
Ni (0.2500, 0.2500, 0.0000)  8 Ga 2.54-2.59

=====

Compound: AlZnPt2
Source: the Alexandria database
Functional: GGA-PBE
Structure: optimized geometry

Summary:
- Energy of formation from the pure elements: -0.734 eV per atom

a = 9.4979 Å, b = 2.9101 Å, c = 4.4471 Å
α = 90.00°, β = 105.62°, γ = 90.00°
Last column: nearest neighbours and their distance in Å.
Space group Cm (No. 8)
One atom of each set of equivalent atoms:
Al (0.0000, 0.0000, 0.0000)  7 Pt 2.61-2.67, 2 Zn 2.90, 2 Al 2.91
Zn (0.2520, 0.0000, 0.6171)  7 Pt 2.61-2.67, 2 Al 2.90, 2 Zn 2.91
Pt (0.0080, 0.5000, 0.5031)  3 Zn 2.61-2.67, 4 Al 2.65-2.66, 2 Pt 2.91
Pt (0.2370, 0.5000, 0.1074)  3 Al 2.61-2.67, 4 Zn 2.66, 2 Pt 2.91

=====

Compound: PmDyN2
Source: the Alexandria database
Functional: GGA-PBE
Structure: optimized geometry

Summary:
- E_form (uncorrected): -1.56 eV per atom

a = 3.5436 Å, b = 3.5436 Å, c = 17.3716 Å
α = 90.00°, β = 90.00°, γ = 120.00°
Last column: nearest neighbours and their distance in Å.
Space group R-3m (No. 166, hexagonal axes)
One atom of each set of equivalent atoms:
Pm (0.0000, 0.0000, 0.0000)  6 N 2.54
Dy (0.0000, 0.0000, 0.5000)  6 N 2.48
N (0.0000, 0.0000, 0.2471)  3 Dy 2.48, 3 Pm 2.54

=====

Compound: Cu2NiIr
Source: the Alexandria database
Functional: GGA-PBE
Structure: optimized geometry

Summary:
- Energy of formation from the pure elements: 0.153 eV per atom

a = 3.6469 Å, b = 3.6469 Å, c = 3.7422 Å
α = 90.00°, β = 90.00°, γ = 90.00°
Last column: nearest neighbours and their distance in Å.
Space group P4/mmm (No. 123)
One atom of each set of equivalent atoms:
Cu (0.0000, 0.5000, 0.0000)  4 Cu 2.58, 4 Ni 2.61, 4 Ir 2.61
Ni (0.0000, 0.0000, 0.5000)  4 Ir 2.58, 8 Cu 2.61
Ir (0.5000, 0.5000, 0.5000)  4 Ni 2.58, 8 Cu 2.61

=====

Compound: BaSrInRh
Source: the Alexandria database
Functional: GGA-PBE
Structure: optimized geometry

Summary:
- Energy of formation from the pure elements: -0.337 eV per atom

a = 8.1036 Å, b = 4.6523 Å, c = 8.6447 Å
α = 90.00°, β = 108.13°, γ = 90.00°
Last column: nearest neighbours and their distance in Å.
Space group Cm (No. 8)
One atom of each set of equivalent atoms:
Ba (0.0000, 0.0000, 0.0000)  3 Rh 3.47-3.49, 3 In 3.50
Sr (0.3285, 0.5000, 0.4845)  3 In 3.35-3.36, 3 Rh 3.37-3.39
In (0.2419, 0.0000, 0.7279)  3 Rh 2.69
Rh (0.0759, 0.5000, 0.7323)  3 In 2.69

=====

Compound: Zn4Se
Source: the Alexandria database
Functional: GGA-PBE
Structure: optimized geometry

Summary:
- E_form (uncorrected): 0.41 eV per atom

a = 6.0258 Å, b = 6.0258 Å, c = 6.0258 Å
α = 90.00°, β = 90.00°, γ = 90.00°
Last column: nearest neighbours and their distance in Å.
Space group Im-3m (No. 229)
One atom of each set of equivalent atoms:
Zn (0.2500, 0.2500, 0.2500)  2 Se 2.61
Se (0.0000, 0.0000, 0.0000)  8 Zn 2.61

=====

Compound: CdIn2Ag
Source: the Alexandria database
Functional: GGA-PBE
Structure: optimized geometry

Summary:
- Energy of formation from the pure elements: 0.023 eV per atom

a = 4.3950 Å, b = 8.4820 Å, c = 5.3944 Å
α = 90.00°, β = 107.39°, γ = 90.00°
Last column: nearest neighbours and their distance in Å.
Space group P2_1/m (No. 11)
One atom of each set of equivalent atoms:
Cd (0.0700, 0.2500, 0.1294)  3 Ag 2.95-3.28, 2 In 3.29
In (0.3443, 0.0474, 0.7223)  3 Ag 2.90-2.93, 2 In 3.01-3.20
Ag (0.2199, 0.7500, 0.4422)  6 In 2.90-2.93, 2 Cd 2.95-2.96

=====

Compound: La5Pr2YTm
Source: the Alexandria database
Functional: GGA-PBE
Structure: optimized geometry

Summary:
- Energy of formation from the pure elements: 0.257 eV per atom

a = 8.6556 Å, b = 8.6556 Å, c = 17.4355 Å
α = 90.00°, β = 90.00°, γ = 90.00°
Last column: nearest neighbours and their distance in Å.
Space group I4/mcm (No. 140)
One atom of each set of equivalent atoms:
La (0.0000, 0.0000, 0.0000)  4 Pr 3.42
La (0.2220, 0.2780, 0.1445)  1 Pr 3.14, 1 Y 3.28
Pr (0.1247, 0.3753, 0.5000)  1 Pr 3.05, 2 La 3.14
Y (0.0000, 0.5000, 0.2500)  4 La 3.28
Tm (0.0000, 0.0000, 0.2500)  8 La 3.59

=====

Compound: Na2SrSiIr
Source: the Alexandria database
Functional: GGA-PBE
Structure: optimized geometry

Summary:
- E_form (uncorrected): 0.02 eV per atom

a = 5.3809 Å, b = 5.3809 Å, c = 4.6256 Å
α = 90.00°, β = 90.00°, γ = 90.00°
Last column: nearest neighbours and their distance in Å.
Space group P4/mmm (No. 123)
One atom of each set of equivalent atoms:
Na (0.0000, 0.5000, 0.0000)  2 Ir 2.69
Sr (0.0000, 0.0000, 0.5000)  8 Na 3.55, 4 Si 3.80
Si (0.5000, 0.5000, 0.5000)  2 Ir 2.31
Ir (0.5000, 0.5000, 0.0000)  2 Si 2.31

=====

Compound: Ge2PdI
Source: the Alexandria database
Functional: GGA-PBE
Structure: optimized geometry

Summary:
- E_form (uncorrected): 0.10 eV per atom

a = 6.0822 Å, b = 6.0822 Å, c = 13.0511 Å
α = 90.00°, β = 90.00°, γ = 90.00°
Last column: nearest neighbours and their distance in Å.
Space group I-42d (No. 122)
One atom of each set of equivalent atoms:
Ge (0.1476, 0.2500, 0.1250)  2 Pd 2.40
Pd (0.0000, 0.0000, 0.0000)  4 Ge 2.40
I (0.0000, 0.0000, 0.5000)  4 Ge 3.09

=====

Compound: InPbCl2
Source: the Alexandria database
Functional: GGA-PBE
Structure: optimized geometry

Summary:
- E_form (uncorrected): -0.58 eV per atom

a = 4.3089 Å, b = 4.3869 Å, c = 12.0126 Å
α = 90.00°, β = 90.00°, γ = 90.00°
Last column: nearest neighbours and their distance in Å.
Space group Imm2 (No. 44)
One atom of each set of equivalent atoms:
In (0.0000, 0.0000, 0.0000)  4 Cl 3.10
Pb (0.0000, 0.5000, 0.7614)  6 Cl 3.10-3.28
Cl (0.0000, 0.0000, 0.4676)  4 In 3.10, 2 Pb 3.28
Cl (0.0000, 0.5000, 0.2263)  4 Pb 3.10

=====

Compound: Pr2SmY6Ho3
Source: the Alexandria database
Functional: GGA-PBE
Structure: optimized geometry

Summary:
- Energy of formation from the pure elements: 0.020 eV per atom

a = 6.2233 Å, b = 10.7718 Å, c = 11.8591 Å
α = 90.00°, β = 100.04°, γ = 90.00°
Last column: nearest neighbours and their distance in Å.
Space group C2/m (No. 12)
One atom of each set of equivalent atoms:
Pr (0.0000, 0.1665, 0.0000)  3 Pr 3.59, 3 Sm 3.59, 6 Y 3.62
Sm (0.0000, 0.5000, 0.0000)  6 Pr 3.59, 6 Y 3.62
Y (0.2481, 0.5000, 0.7460)  3 Ho 3.54, 6 Y 3.59, 1 Sm 3.62, 2 Pr 3.62
Y (0.2488, 0.1665, 0.7461)  3 Ho 3.54-3.55, 6 Y 3.59, 1 Sm 3.62, 2 Pr 3.62
Ho (0.0000, 0.0000, 0.5000)  6 Y 3.54, 6 Ho 3.59
Ho (0.0000, 0.3334, 0.5000)  6 Y 3.54-3.55, 6 Ho 3.59